A plane-wave DFT calculation with PBE-GGA was carried out for a relaxed structure of CaLaSbAu.

Output
Mass density (kg/m3): 7407
E_form (uncorrected) (kJ/mol of atoms): -85.81
Fermi-level density of states (states/eV/f.u.): 3.6
Calculated volume (Å³/cell): 111.6

Structure (POSCAR):
```
CaLaSbAu
1.0
-1.0782 -4.9571 -1.8617
0.2265 -4.2467 3.3339
-4.5467 -2.5144 1.4855
Ca Au Sb La
1 1 1 1
Direct
0.2500 0.2500 0.2500
0.0000 0.0000 0.0000
0.5000 0.5000 0.5000
0.7500 0.7500 0.7500
```